4
Lattice="-1.004 3.621 -2.958 -2.954 1.827 -3.287 -2.930 2.586 3.269" Properties=species:S:1:pos:R:3 comment="GGA-PBE CuMo2Au, optimized geometry" space_group=Cm dft_energy_ev_per_atom=-7.0001 ef_ev_per_atom=0.259 pbc="T T T"
Au -3.402 3.982 -1.545
Cu -1.728 2.014 -0.739
Mo -3.937 5.419 -6.211
Mo -5.222 6.084 -2.216